Entry 1:
This record from Alexandria describes crystalline CdAsRh2 at its relaxed geometry. The functional is GGA-PBE.

Unit cell a=3.8433 b=3.8433 c=6.0540 alpha=71.49 beta=71.49 gamma=60.00
Element x y z (fractional)
1 Cd 0.4970 0.4970 0.5090
2 As 0.6695 0.6695 0.9914
3 Rh 0.0596 0.0596 0.8213
4 Rh 0.2739 0.2739 0.1783

Values from the calculation:
VASP energy = -21.06 eV per cell
space-group type = R3m, No. 160
energy above the lowest structure with this stoichiometry = 66 meV per atom
crystal system = trigonal
ΔH_f (0 K) = -0.20 eV per atom

Entry 2:
This record from Alexandria describes crystalline LiLaOs at its relaxed geometry. The functional is GGA-PBE.

Unit cell a=4.5651 b=4.5651 c=4.5651 alpha=60.00 beta=60.00 gamma=60.00
Element x y z (fractional)
1 La 0.0000 0.0000 0.0000
2 Li 0.5000 0.5000 0.5000
3 Os 0.2500 0.2500 0.2500

Values from the calculation:
VASP energy = -17.25 eV per cell
space-group type = F-43m, No. 216
energy above the lowest structure with this stoichiometry = 215 meV per atom
crystal system = cubic
ΔH_f (0 K) = 0.27 eV per atom

Entry 3:
This record from Alexandria describes crystalline PmHoIr at its relaxed geometry. The functional is GGA-PBE.

Unit cell a=4.8574 b=4.8574 c=4.8574 alpha=60.00 beta=60.00 gamma=60.00
Element x y z (fractional)
1 Ir 0.2500 0.2500 0.2500
2 Ho 0.0000 0.0000 0.0000
3 Pm 0.5000 0.5000 0.5000

Values from the calculation:
VASP energy = -20.07 eV per cell
space-group type = F-43m, No. 216
energy above the lowest structure with this stoichiometry = 0 meV per atom
crystal system = cubic
ΔH_f (0 K) = -0.63 eV per atom